Entry 1:
PmSc2H8: relaxed, PBE-GGA.

Summary:
The total energy comes out at -0.16761 Ha/atom.

a b c (Å): 6.0644 6.0644 6.0644
angles (deg): 146.74 131.01 60.51
Positions (direct):
Pm  0.0000  0.0000  0.0000
Sc  0.3282  0.3282  0.0000
Sc  0.6718  0.6718  0.0000
H  0.1073  0.8312  0.2761
H  0.1584  0.6584  0.5000
H  0.3005  0.5000  0.8005
H  0.4450  0.1688  0.2761
H  0.5550  0.8312  0.7239
H  0.6995  0.5000  0.1995
H  0.8416  0.3416  0.5000
H  0.8927  0.1688  0.7239

***

Entry 2:
Pm3Sc5H12: relaxed, PBE-GGA.

Summary:
The total energy comes out at -0.17575 Ha/atom.

a b c (Å): 10.9097 10.9097 10.9097
angles (deg): 109.47 109.47 109.47
Positions (direct):
Pm  0.1250  0.2500  0.3750
Pm  0.1250  0.3750  0.7500
Pm  0.2500  0.3750  0.1250
Pm  0.2500  0.8750  0.6250
Pm  0.3750  0.1250  0.2500
Pm  0.3750  0.7500  0.1250
Pm  0.6250  0.2500  0.8750
Pm  0.6250  0.8750  0.7500
Pm  0.7500  0.1250  0.3750
Pm  0.7500  0.6250  0.8750
Pm  0.8750  0.6250  0.2500
Pm  0.8750  0.7500  0.6250
Sc  0.0000  0.0000  0.0000
Sc  0.0000  0.0000  0.5000
Sc  0.0000  0.5000  0.0000
Sc  0.0000  0.5000  0.5000
Sc  0.1250  0.7500  0.8750
Sc  0.1250  0.8750  0.2500
Sc  0.2500  0.1250  0.8750
Sc  0.2500  0.6250  0.3750
Sc  0.3750  0.2500  0.6250
Sc  0.3750  0.6250  0.7500
Sc  0.5000  0.0000  0.0000
Sc  0.5000  0.0000  0.5000
Sc  0.5000  0.5000  0.0000
Sc  0.5000  0.5000  0.5000
Sc  0.6250  0.3750  0.2500
Sc  0.6250  0.7500  0.3750
Sc  0.7500  0.3750  0.6250
Sc  0.7500  0.8750  0.1250
Sc  0.8750  0.1250  0.7500
Sc  0.8750  0.2500  0.1250
H  0.0470  0.2123  0.1329
H  0.0470  0.3347  0.9140
H  0.0794  0.7123  0.6653
H  0.0794  0.8671  0.4140
H  0.0860  0.6329  0.4206
H  0.0860  0.9530  0.6653
H  0.1329  0.0470  0.2123
H  0.1329  0.5860  0.9206
H  0.1653  0.2123  0.5794
H  0.1653  0.4530  0.5860
H  0.2123  0.1329  0.0470
H  0.2123  0.5794  0.1653
H  0.2877  0.3347  0.9206
H  0.2877  0.4530  0.3671
H  0.3347  0.9140  0.0470
H  0.3347  0.9206  0.2877
H  0.3671  0.2877  0.4530
H  0.3671  0.5794  0.9140
H  0.4140  0.0794  0.8671
H  0.4140  0.8347  0.5470
H  0.4206  0.0860  0.6329
H  0.4206  0.8347  0.7877
H  0.4530  0.3671  0.2877
H  0.4530  0.5860  0.1653
H  0.5470  0.4140  0.8347
H  0.5470  0.6329  0.7123
H  0.5794  0.1653  0.2123
H  0.5794  0.9140  0.3671
H  0.5860  0.1653  0.4530
H  0.5860  0.9206  0.1329
H  0.6329  0.4206  0.0860
H  0.6329  0.7123  0.5470
H  0.6653  0.0794  0.7123
H  0.6653  0.0860  0.9530
H  0.7123  0.5470  0.6329
H  0.7123  0.6653  0.0794
H  0.7877  0.4206  0.8347
H  0.7877  0.8671  0.9530
H  0.8347  0.5470  0.4140
H  0.8347  0.7877  0.4206
H  0.8671  0.4140  0.0794
H  0.8671  0.9530  0.7877
H  0.9140  0.0470  0.3347
H  0.9140  0.3671  0.5794
H  0.9206  0.1329  0.5860
H  0.9206  0.2877  0.3347
H  0.9530  0.6653  0.0860
H  0.9530  0.7877  0.8671

***

Entry 3:
Pm2ScH: relaxed, PBE-GGA.

Summary:
Its energy relative to the lowest polymorph listed for this composition is 0.00 eV/f.u. The total energy comes out at -0.17398 Ha/atom.

a b c (Å): 3.4672 3.4672 27.7604
angles (deg): 90.00 90.00 120.00
Positions (direct):
Pm  0.0000  0.0000  0.1146
Pm  0.0000  0.0000  0.8854
Pm  0.3333  0.6667  0.5521
Pm  0.3333  0.6667  0.7812
Pm  0.6667  0.3333  0.2188
Pm  0.6667  0.3333  0.4479
Sc  0.0000  0.0000  0.0000
Sc  0.3333  0.6667  0.6667
Sc  0.6667  0.3333  0.3333
H  0.0000  0.0000  0.5000
H  0.3333  0.6667  0.1667
H  0.6667  0.3333  0.8333

***

Entry 4:
PmHSe: relaxed, PBE-GGA.

Summary:
Its energy relative to the lowest polymorph listed for this composition is 1.48 eV/f.u. The total energy comes out at -0.17758 Ha/atom.

a b c (Å): 10.5267 4.0283 6.6686
angles (deg): 90.00 103.85 90.00
Positions (direct):
Pm  0.0623  0.0000  0.2881
Pm  0.4377  0.5000  0.7119
Pm  0.5623  0.5000  0.2881
Pm  0.9377  0.0000  0.7119
H  0.1017  0.0000  0.9865
H  0.3983  0.5000  0.0135
H  0.6017  0.5000  0.9865
H  0.8983  0.0000  0.0135
Se  0.1480  0.5000  0.6397
Se  0.3520  0.0000  0.3603
Se  0.6480  0.0000  0.6397
Se  0.8520  0.5000  0.3603

***

Entry 5:
PmHSe: relaxed, PBE-GGA.

Summary:
Its energy relative to the lowest polymorph listed for this composition is 1.18 eV/f.u. The total energy comes out at -0.18126 Ha/atom.

a b c (Å): 6.5403 6.5403 6.5403
angles (deg): 90.00 90.00 90.00
Positions (direct):
Pm  0.0000  0.0000  0.0000
Pm  0.0000  0.5000  0.5000
Pm  0.5000  0.0000  0.5000
Pm  0.5000  0.5000  0.0000
H  0.2500  0.2500  0.2500
H  0.2500  0.7500  0.7500
H  0.7500  0.2500  0.7500
H  0.7500  0.7500  0.2500
Se  0.2500  0.2500  0.7500
Se  0.2500  0.7500  0.2500
Se  0.7500  0.2500  0.2500
Se  0.7500  0.7500  0.7500

***

Entry 6:
PmHSe: relaxed, PBE-GGA.

Summary:
Its energy relative to the lowest polymorph listed for this composition is 1.79 eV/f.u. The total energy comes out at -0.17375 Ha/atom.

a b c (Å): 7.0744 7.0723 4.4392
angles (deg): 71.74 71.69 36.58
Positions (direct):
Pm  0.1493  0.1493  0.8507
Pm  0.8507  0.8507  0.1493
H  0.2500  0.2500  0.2500
H  0.7500  0.7500  0.7500
Se  0.0000  0.0000  0.5000
Se  0.5000  0.5000  0.0000

***

Entry 7:
PmHSe: relaxed, PBE-GGA.

Summary:
Its energy relative to the lowest polymorph listed for this composition is 0.00 eV/f.u. The total energy comes out at -0.19572 Ha/atom.

a b c (Å): 3.9594 3.9594 4.0074
angles (deg): 90.00 90.00 120.00
Positions (direct):
Pm  0.0000  0.0000  0.0000
H  0.3333  0.6667  0.0000
Se  0.6667  0.3333  0.5000

***

Entry 8:
Pm5HSe5: relaxed, PBE-GGA.

Summary:
The total energy comes out at -0.20476 Ha/atom.

a b c (Å): 7.1288 7.1288 8.2392
angles (deg): 106.82 106.82 48.38
Positions (direct):
Pm  0.0000  0.0000  0.0000
Pm  0.3337  0.3337  0.6634
Pm  0.3377  0.3377  0.1678
Pm  0.6623  0.6623  0.8322
Pm  0.6663  0.6663  0.3366
H  0.5000  0.5000  0.0000
Se  0.1645  0.1645  0.8295
Se  0.1675  0.1675  0.3342
Se  0.5000  0.5000  0.5000
Se  0.8325  0.8325  0.6658
Se  0.8355  0.8355  0.1705

***

Entry 9:
Pm2HSe: relaxed, PBE-GGA.

Summary:
Its energy relative to the lowest polymorph listed for this composition is 0.44 eV/f.u. The total energy comes out at -0.18313 Ha/atom.

a b c (Å): 3.8916 3.8916 22.4232
angles (deg): 90.00 90.00 120.00
Positions (direct):
Pm  0.0000  0.0000  0.0000
Pm  0.0000  0.0000  0.1643
Pm  0.3333  0.6667  0.6667
Pm  0.3333  0.6667  0.8310
Pm  0.6667  0.3333  0.3333
Pm  0.6667  0.3333  0.4977
H  0.0000  0.0000  0.3526
H  0.3333  0.6667  0.0193
H  0.6667  0.3333  0.6860
Se  0.0000  0.0000  0.5817
Se  0.3333  0.6667  0.2484
Se  0.6667  0.3333  0.9151

***

Entry 10:
PmHSe: relaxed, PBE-GGA.

Summary:
Its energy relative to the lowest polymorph listed for this composition is 1.64 eV/f.u. The total energy comes out at -0.17558 Ha/atom.

a b c (Å): 3.9277 3.9277 8.0311
angles (deg): 90.00 90.00 90.00
Positions (direct):
Pm  0.0000  0.0000  0.0000
Pm  0.5000  0.5000  0.5000
H  0.0000  0.0000  0.7225
H  0.5000  0.5000  0.2225
Se  0.0000  0.0000  0.3706
Se  0.5000  0.5000  0.8706

***

Entry 11:
Pm2HSe: relaxed, PBE-GGA.

Summary:
Its energy relative to the lowest polymorph listed for this composition is 0.00 eV/f.u. The total energy comes out at -0.18721 Ha/atom.

a b c (Å): 3.8628 3.8628 20.2973
angles (deg): 90.00 90.00 120.00
Positions (direct):
Pm  0.0000  0.0000  0.2384
Pm  0.0000  0.0000  0.7616
Pm  0.3333  0.6667  0.4283
Pm  0.3333  0.6667  0.9051
Pm  0.6667  0.3333  0.0949
Pm  0.6667  0.3333  0.5717
H  0.0000  0.0000  0.5000
H  0.3333  0.6667  0.1667
H  0.6667  0.3333  0.8333
Se  0.0000  0.0000  0.0000
Se  0.3333  0.6667  0.6667
Se  0.6667  0.3333  0.3333

***

Entry 12:
Pm2H4Se: relaxed, PBE-GGA.

Summary:
The total energy comes out at -0.17185 Ha/atom.

a b c (Å): 7.2234 7.2234 3.8212
angles (deg): 90.00 90.00 90.00
Positions (direct):
Pm  0.2190  0.2190  0.0000
Pm  0.2810  0.7190  0.5000
Pm  0.7190  0.2810  0.5000
Pm  0.7810  0.7810  0.0000
H  0.0915  0.6737  0.0000
H  0.1737  0.4085  0.5000
H  0.3263  0.9085  0.0000
H  0.4085  0.1737  0.5000
H  0.5915  0.8263  0.5000
H  0.6737  0.0915  0.0000
H  0.8263  0.5915  0.5000
H  0.9085  0.3263  0.0000
Se  0.0000  0.0000  0.5000
Se  0.5000  0.5000  0.0000